DFT (GGA-PBE) results for a relaxed TmMgZrGa crystal.

a b c (Å): 4.9566 4.9566 4.9566
angles (deg): 60.00 60.00 60.00
Last column: nearest neighbours and their distance in Å.
Sites, in units of the cell vectors:
Tm1 0.0000 0.0000 0.0000  4 Mg 3.04, 4 Ga 3.04
Mg1 0.7500 0.7500 0.7500  4 Zr 3.04, 4 Tm 3.04
Zr1 0.5000 0.5000 0.5000  4 Mg 3.04, 4 Ga 3.04
Ga1 0.2500 0.2500 0.2500  4 Zr 3.04, 4 Tm 3.04

## Properties
Density of states at the Fermi level   0.8520 states/eV per atom
Energy of formation   -0.226 eV per atom
Electronic total energy   -4.64 eV per atom